This record from Alexandria describes an optimized crystal structure of NaFeAsI2. The functional is GGA-PBE.

Its mass density is 3.901 g/cm3. The total magnetization comes out at 2.7 μB/f.u. The density of states at the Fermi level comes out at 19.3 states/eV/f.u. The calculation puts the uncorrected formation energy at 0.054 eV/atom.

CIF file:
```
data_NaFeAsI2
_chemical_formula_sum 'Na1 Fe1 As1 I2'
_cell_length_a 6.2181
_cell_length_b 6.2181
_cell_length_c 4.4874
_cell_angle_alpha 90.00
_cell_angle_beta 90.00
_cell_angle_gamma 90.00
_symmetry_space_group_name_H-M 'P 4/m m m'
_symmetry_Int_Tables_number 123
_symmetry_space_group_name_Hall '-P 4 2'
loop_
_atom_site_label
_atom_site_type_symbol
_atom_site_fract_x
_atom_site_fract_y
_atom_site_fract_z
Na1 Na 0.0000 0.0000 0.0000
Fe1 Fe 0.5000 0.5000 0.0000
As1 As 0.5000 0.5000 0.5000
I1 I 0.0000 0.5000 0.5000
```

=====

This record from Alexandria describes an optimized crystal structure of FeNiAsI2. The functional is GGA-PBE.

Its mass density is 5.777 g/cm3. The total magnetization comes out at 2.1 μB/f.u. The density of states at the Fermi level comes out at 8.7 states/eV/f.u. The calculation puts the uncorrected formation energy at 0.834 eV/atom.

CIF file:
```
data_FeNiAsI2
_chemical_formula_sum 'Fe1 Ni1 As1 I2'
_cell_length_a 5.4182
_cell_length_b 5.4182
_cell_length_c 4.3401
_cell_angle_alpha 90.00
_cell_angle_beta 90.00
_cell_angle_gamma 90.00
_symmetry_space_group_name_H-M 'P 4/m m m'
_symmetry_Int_Tables_number 123
_symmetry_space_group_name_Hall '-P 4 2'
loop_
_atom_site_label
_atom_site_type_symbol
_atom_site_fract_x
_atom_site_fract_y
_atom_site_fract_z
Fe1 Fe 0.0000 0.0000 0.0000
Ni1 Ni 0.5000 0.5000 0.5000
As1 As 0.0000 0.0000 0.5000
I1 I 0.0000 0.5000 0.0000
```